The following is a DFT calculation (PBEsol) of an optimized crystal structure of YSnPt2.

Lattice parameters (Å, degrees): 4.5040 4.5040 8.9510 90.00 90.00 120.00
Fractional positions:
Y 0.3333 0.6667 0.2500
Y 0.6667 0.3333 0.7500
Sn 0.0000 0.0000 0.0000
Sn 0.0000 0.0000 0.5000
Pt 0.3333 0.6667 0.5885
Pt 0.3333 0.6667 0.9115
Pt 0.6667 0.3333 0.0885
Pt 0.6667 0.3333 0.4115

Volume in Å³/cell: 157.3
Uncorrected energy in eV/cell: -58.16
ΔH_f (0 K) in eV/atom: -1.018

The following is a DFT calculation (PBEsol) of an optimized crystal structure of CaLaPb2.

Lattice parameters (Å, degrees): 5.7893 5.7893 3.6205 90.00 90.00 102.51
Fractional positions:
Ca 0.0000 0.0000 0.0000
La 0.5000 0.5000 0.0000
Pb 0.0000 0.5000 0.5000
Pb 0.5000 0.0000 0.5000

Volume in Å³/cell: 118.5
Uncorrected energy in eV/cell: -17.79
ΔH_f (0 K) in eV/atom: -0.578

The following is a DFT calculation (PBEsol) of an optimized crystal structure of Sc2Si2Ni.

Lattice parameters (Å, degrees): 6.0864 6.0864 4.2044 90.00 90.00 90.00
Fractional positions:
Sc 0.1703 0.3297 0.0000
Sc 0.3297 0.8297 0.0000
Sc 0.6703 0.1703 0.0000
Sc 0.8297 0.6703 0.0000
Si 0.1409 0.6409 0.5000
Si 0.3591 0.1409 0.5000
Si 0.6409 0.8591 0.5000
Si 0.8591 0.3591 0.5000
Ni 0.0000 0.0000 0.5000
Ni 0.5000 0.5000 0.5000

Formation energy without anion corrections in eV/atom: -0.866
Volume in Å³/cell: 155.7
Uncorrected energy in eV/cell: -70.38

The following is a DFT calculation (PBEsol) of an optimized crystal structure of InRuF3.

Lattice parameters (Å, degrees): 4.1951 4.1951 4.1951 90.00 90.00 90.00
Fractional positions:
In 0.0000 0.0000 0.0000
Ru 0.5000 0.5000 0.5000
F 0.0000 0.5000 0.5000
F 0.5000 0.0000 0.5000
F 0.5000 0.5000 0.0000

Formation energy without anion corrections in eV/atom: -1.111
Volume in Å³/cell: 73.8
Uncorrected energy in eV/cell: -24.49

The following is a DFT calculation (PBEsol) of an optimized crystal structure of Co3Sb4O6F6.

Lattice parameters (Å, degrees): 7.0198 7.0198 7.0198 109.47 109.47 109.47
Fractional positions:
Co 0.0000 0.5000 0.5000
Co 0.5000 0.0000 0.5000
Co 0.5000 0.5000 0.0000
Sb 0.0000 0.0000 0.3263
Sb 0.0000 0.3263 0.0000
Sb 0.3263 0.0000 0.0000
Sb 0.6737 0.6737 0.6737
O 0.0000 0.2523 0.2523
O 0.0000 0.7477 0.7477
O 0.2523 0.0000 0.2523
O 0.2523 0.2523 0.0000
O 0.7477 0.0000 0.7477
O 0.7477 0.7477 0.0000
F 0.2500 0.5000 0.7500
F 0.2500 0.7500 0.5000
F 0.5000 0.2500 0.7500
F 0.5000 0.7500 0.2500
F 0.7500 0.2500 0.5000
F 0.7500 0.5000 0.2500

Formation energy without anion corrections in eV/atom: -1.480
Volume in Å³/cell: 266.3
Uncorrected energy in eV/cell: -112.62

The following is a DFT calculation (PBEsol) of an optimized crystal structure of Tl3In.

Lattice parameters (Å, degrees): 4.7889 4.7889 4.7889 90.00 90.00 90.00
Fractional positions:
Tl 0.0000 0.0000 0.5000
Tl 0.0000 0.5000 0.0000
Tl 0.5000 0.0000 0.0000
In 0.5000 0.5000 0.5000

Volume in Å³/cell: 109.8
Uncorrected energy in eV/cell: -10.78
ΔH_f (0 K) in eV/atom: 0.022

The following is a DFT calculation (PBEsol) of an optimized crystal structure of Li3BiCl.

Lattice parameters (Å, degrees): 4.6437 4.6437 4.6437 90.00 90.00 90.00
Fractional positions:
Li 0.0000 0.0000 0.5000
Li 0.0000 0.5000 0.0000
Li 0.5000 0.0000 0.0000
Bi 0.5000 0.5000 0.5000
Cl 0.0000 0.0000 0.0000

Formation energy without anion corrections in eV/atom: -0.839
Volume in Å³/cell: 100.1
Uncorrected energy in eV/cell: -16.39

The following is a DFT calculation (PBEsol) of an optimized crystal structure of Tl2PtW.

Lattice parameters (Å, degrees): 4.7211 4.7211 4.7211 60.00 60.00 60.00
Fractional positions:
Tl 0.2500 0.2500 0.2500
Tl 0.7500 0.7500 0.7500
Pt 0.0000 0.0000 0.0000
W 0.5000 0.5000 0.5000

Energy relative to the lowest polymorph listed for this composition in eV per formula unit: 1.56
Volume in Å³/cell: 74.4
Uncorrected energy in eV/cell: -22.51
ΔH_f (0 K) in eV/atom: 0.881

The following is a DFT calculation (PBEsol) of an optimized crystal structure of Ni2H2Rh.

Lattice parameters (Å, degrees): 5.9004 5.9004 5.9004 153.88 153.88 37.27
Fractional positions:
Ni 0.1592 0.1592 0.0000
Ni 0.8408 0.8408 0.0000
H 0.2500 0.7500 0.5000
H 0.7500 0.2500 0.5000
Rh 0.5000 0.5000 0.0000

Volume in Å³/cell: 39.8
Uncorrected energy in eV/cell: -26.98

The following is a DFT calculation (PBEsol) of an optimized crystal structure of TiCr2Br.

Lattice parameters (Å, degrees): 4.2157 4.2157 4.2157 60.00 60.00 60.00
Fractional positions:
Ti 0.0000 0.0000 0.0000
Cr 0.2500 0.2500 0.2500
Cr 0.7500 0.7500 0.7500
Br 0.5000 0.5000 0.5000

Formation energy without anion corrections in eV/atom: 0.775
Volume in Å³/cell: 53.0
Uncorrected energy in eV/cell: -27.58

The following is a DFT calculation (PBEsol) of an optimized crystal structure of Li4CaHg.

Lattice parameters (Å, degrees): 5.5145 5.5145 5.5145 60.00 60.00 60.00
Fractional positions:
Li 0.1225 0.1225 0.1225
Li 0.1225 0.1225 0.6325
Li 0.1225 0.6325 0.1225
Li 0.6325 0.1225 0.1225
Ca 0.5000 0.5000 0.5000
Hg 0.7500 0.7500 0.7500

Volume in Å³/cell: 118.6
Uncorrected energy in eV/cell: -11.46
ΔH_f (0 K) in eV/atom: -0.149

The following is a DFT calculation (PBEsol) of an optimized crystal structure of Mn2CoAu.

Lattice parameters (Å, degrees): 8.4171 8.4171 8.4171 18.03 18.03 18.03
Fractional positions:
Mn 0.0000 0.0000 0.0000
Mn 0.2603 0.2603 0.2603
Co 0.7425 0.7425 0.7425
Au 0.5003 0.5003 0.5003

Energy relative to the lowest polymorph listed for this composition in eV per formula unit: 0.69
Volume in Å³/cell: 49.9
Uncorrected energy in eV/cell: -29.97
ΔH_f (0 K) in eV/atom: 0.304

The following is a DFT calculation (PBEsol) of an optimized crystal structure of EuSe2.

Lattice parameters (Å, degrees): 4.0329 4.0329 8.6045 90.00 90.00 90.00
Fractional positions:
Eu 0.2500 0.2500 0.2140
Eu 0.7500 0.7500 0.7860
Se 0.2500 0.2500 0.8642
Se 0.2500 0.7500 0.5000
Se 0.7500 0.2500 0.5000
Se 0.7500 0.7500 0.1358

Formation energy without anion corrections in eV/atom: -1.457
Volume in Å³/cell: 139.9
Uncorrected energy in eV/cell: -45.27

The following is a DFT calculation (PBEsol) of an optimized crystal structure of NiBi3N.

Lattice parameters (Å, degrees): 4.7809 4.7809 4.7809 90.00 90.00 90.00
Fractional positions:
Ni 0.0000 0.0000 0.0000
Bi 0.0000 0.5000 0.5000
Bi 0.5000 0.0000 0.5000
Bi 0.5000 0.5000 0.0000
N 0.5000 0.5000 0.5000

Formation energy without anion corrections in eV/atom: 0.706
Volume in Å³/cell: 109.3
Uncorrected energy in eV/cell: -24.01

The following is a DFT calculation (PBEsol) of an optimized crystal structure of Sc3AlFe.

Lattice parameters (Å, degrees): 5.0321 5.0321 5.0321 90.00 90.00 90.00
Fractional positions:
Sc 0.0000 0.0000 0.5000
Sc 0.0000 0.5000 0.0000
Sc 0.5000 0.0000 0.0000
Al 0.0000 0.0000 0.0000
Fe 0.5000 0.5000 0.5000

Volume in Å³/cell: 127.4
Uncorrected energy in eV/cell: -28.19
ΔH_f (0 K) in eV/atom: 0.936

The following is a DFT calculation (PBEsol) of an optimized crystal structure of TeWBr2.

Lattice parameters (Å, degrees): 3.1685 3.1685 9.0812 90.00 90.00 90.00
Fractional positions:
Te 0.0000 0.0000 0.0000
W 0.5000 0.5000 0.1866
Br 0.0000 0.0000 0.3656
Br 0.5000 0.5000 0.6826

Formation energy without anion corrections in eV/atom: 0.207
Volume in Å³/cell: 91.2
Uncorrected energy in eV/cell: -20.24

The following is a DFT calculation (PBEsol) of an optimized crystal structure of KNiTe2.

Lattice parameters (Å, degrees): 6.0209 6.0209 6.0209 143.79 116.14 75.67
Fractional positions:
K 0.0000 0.0000 0.0000
Ni 0.5000 0.5000 0.0000
Te 0.3304 0.8304 0.5000
Te 0.6696 0.1696 0.5000

Formation energy without anion corrections in eV/atom: -0.344
Volume in Å³/cell: 113.3
Uncorrected energy in eV/cell: -15.72

The following is a DFT calculation (PBEsol) of an optimized crystal structure of Sc2Rh.

Lattice parameters (Å, degrees): 8.5871 8.5871 8.5871 60.00 60.00 60.00
Fractional positions:
Sc 0.0000 0.0000 0.0000
Sc 0.0000 0.0000 0.5000
Sc 0.0000 0.5000 0.0000
Sc 0.1888 0.1888 0.5612
Sc 0.1888 0.5612 0.1888
Sc 0.1888 0.5612 0.5612
Sc 0.4388 0.4388 0.8112
Sc 0.4388 0.8112 0.4388
Sc 0.4388 0.8112 0.8112
Sc 0.5000 0.0000 0.0000
Sc 0.5612 0.1888 0.1888
Sc 0.5612 0.1888 0.5612
Sc 0.5612 0.5612 0.1888
Sc 0.8112 0.4388 0.4388
Sc 0.8112 0.4388 0.8112
Sc 0.8112 0.8112 0.4388
Rh 0.1443 0.7852 0.7852
Rh 0.2148 0.2148 0.2148
Rh 0.2148 0.2148 0.8557
Rh 0.2148 0.8557 0.2148
Rh 0.7852 0.1443 0.7852
Rh 0.7852 0.7852 0.1443
Rh 0.7852 0.7852 0.7852
Rh 0.8557 0.2148 0.2148

Volume in Å³/cell: 447.7
Uncorrected energy in eV/cell: -186.84
ΔH_f (0 K) in eV/atom: -0.669

The following is a DFT calculation (PBEsol) of an optimized crystal structure of Li4InTe.

Lattice parameters (Å, degrees): 5.4937 5.4937 5.4937 60.00 60.00 60.00
Fractional positions:
Li 0.1240 0.1240 0.1240
Li 0.1240 0.1240 0.6279
Li 0.1240 0.6279 0.1240
Li 0.6279 0.1240 0.1240
In 0.7500 0.7500 0.7500
Te 0.5000 0.5000 0.5000

Formation energy without anion corrections in eV/atom: -0.202
Volume in Å³/cell: 117.2
Uncorrected energy in eV/cell: -15.59

The following is a DFT calculation (PBEsol) of an optimized crystal structure of Mg5Cu.

Lattice parameters (Å, degrees): 3.1796 3.1796 11.7965 90.00 90.00 90.00
Fractional positions:
Mg 0.0000 0.0000 0.0000
Mg 0.0000 0.0000 0.3730
Mg 0.0000 0.0000 0.6270
Mg 0.5000 0.5000 0.1859
Mg 0.5000 0.5000 0.8141
Cu 0.5000 0.5000 0.5000

Energy relative to the lowest polymorph listed for this composition in eV per formula unit: 0.00
Volume in Å³/cell: 119.3
Uncorrected energy in eV/cell: -12.96
ΔH_f (0 K) in eV/atom: -0.007